No. 1
The following is a DFT calculation (PBE-GGA) of a relaxed HoErMo2C3 crystal.

```
data_HoErMo2C3
_chemical_formula_sum 'Ho2 Er2 Mo4 C6'
_cell_length_a 11.297
_cell_length_b 3.374
_cell_length_c 5.671
_cell_angle_alpha 90.00
_cell_angle_beta 108.18
_cell_angle_gamma 90.00
_symmetry_space_group_name_H-M 'C 1 m 1'
_symmetry_Int_Tables_number 8
loop_
_symmetry_equiv_pos_as_xyz
'x,y,z'
'x,-y,z'
'x+1/2,y+1/2,z'
'x+1/2,-y+1/2,z'
loop_
_atom_site_label
_atom_site_fract_x
_atom_site_fract_y
_atom_site_fract_z
Ho1 0.000 0.000 0.000
Er1 0.229 0.000 0.640
Mo1 0.264 0.500 0.192
Mo2 0.465 0.000 0.448
C1 0.114 0.500 0.321
C2 0.344 0.000 0.076
C3 0.384 0.500 0.564
```

No. 2
The following is a DFT calculation (PBE-GGA) of a relaxed ErSb crystal.

```
data_ErSb
_chemical_formula_sum 'Er1 Sb1'
_cell_length_a 4.2000
_cell_length_b 4.2000
_cell_length_c 3.8973
_cell_angle_alpha 90.00
_cell_angle_beta 90.00
_cell_angle_gamma 120.00
_symmetry_space_group_name_H-M 'P -6 m 2'
_symmetry_Int_Tables_number 187
_symmetry_space_group_name_Hall 'P -6 2'
loop_
_atom_site_label
_atom_site_fract_x
_atom_site_fract_y
_atom_site_fract_z
Er1 0.0000 0.0000 0.0000
Sb1 0.6667 0.3333 0.5000
```

No. 3
The following is a DFT calculation (PBE-GGA) of a relaxed HfScCCl2 crystal.

```
data_HfScCCl2
_chemical_formula_sum 'Hf1 Sc1 C1 Cl2'
_cell_length_a 3.4048
_cell_length_b 3.4048
_cell_length_c 9.1999
_cell_angle_alpha 90.00
_cell_angle_beta 90.00
_cell_angle_gamma 120.00
_symmetry_space_group_name_H-M 'P 3 m 1'
_symmetry_Int_Tables_number 156
loop_
_symmetry_equiv_pos_as_xyz
'x,y,z'
'-y,x-y,z'
'-x+y,-x,z'
'-y,-x,z'
'-x+y,y,z'
'x,x-y,z'
loop_
_atom_site_label
_atom_site_fract_x
_atom_site_fract_y
_atom_site_fract_z
Hf1 0.0000 0.0000 0.0000
Sc1 0.3333 0.6667 0.7358
C1 0.6667 0.3333 0.8771
Cl1 0.0000 0.0000 0.5523
Cl2 0.3333 0.6667 0.1924
```

Listing raw total energy for the structures above in their given order: -8.698; -5.198; -7.357 eV per atom.